{"formula": "Rb3Sb4Pt2", "functional": "PBE-GGA", "state": "optimized geometry", "lattice": [[4.349, 0.000, 0.000], [-2.174, 7.062, 0.402], [0.000, -2.525, 10.092]], "species": ["Rb", "Rb", "Rb", "Sb", "Sb", "Sb", "Sb", "Pt", "Pt"], "fractional_positions": [[0.619, 0.238, 0.400], [0.381, 0.762, 0.600], [0.000, 0.000, 0.000], [0.895, 0.790, 0.312], [0.289, 0.577, 0.906], [0.105, 0.210, 0.688], [0.711, 0.423, 0.094], [0.321, 0.642, 0.170], [0.679, 0.358, 0.830]], "formation_energy_uncorrected_ev_per_atom": -0.46, "spacegroup": "No. 12"}

{"formula": "Ba2NaCd12Pd3", "functional": "PBE-GGA", "state": "optimized geometry", "lattice": [[8.978, -0.361, -0.256], [4.120, 7.984, -0.256], [4.120, 2.398, 7.620]], "species": ["Cd", "Cd", "Cd", "Cd", "Cd", "Cd", "Cd", "Cd", "Cd", "Cd", "Cd", "Cd", "Pd", "Pd", "Pd", "Ba", "Ba", "Na"], "fractional_positions": [[0.607, 0.136, 0.136], [0.691, 0.139, 0.691], [0.864, 0.393, 0.864], [0.136, 0.607, 0.136], [0.861, 0.309, 0.309], [0.136, 0.136, 0.607], [0.393, 0.864, 0.864], [0.691, 0.691, 0.139], [0.309, 0.861, 0.309], [0.309, 0.309, 0.861], [0.864, 0.864, 0.393], [0.139, 0.691, 0.691], [0.500, 0.000, 0.000], [0.000, 0.500, 0.000], [0.000, 0.000, 0.500], [0.599, 0.599, 0.599], [0.401, 0.401, 0.401], [0.000, 0.000, 0.000]], "spacegroup": "No. 166", "delta_e_f_ev_per_fu": -0.4}

{"formula": "Sr2DyGaCu2O7", "functional": "PBE-GGA", "state": "optimized geometry", "lattice": [[-0.537, -11.224, 4.867], [6.360, -10.356, 1.496], [-1.533, 12.148, 0.163]], "species": ["O", "O", "O", "O", "O", "O", "O", "O", "O", "O", "O", "O", "O", "O", "Cu", "Cu", "Cu", "Cu", "Dy", "Dy", "Sr", "Sr", "Sr", "Sr", "Ga", "Ga"], "fractional_positions": [[0.365, 0.643, 0.508], [0.868, 0.798, 0.019], [0.692, 0.681, 0.500], [0.279, 0.298, 0.930], [0.817, 0.317, 0.011], [0.806, 0.817, 0.500], [0.183, 0.194, 0.500], [0.319, 0.308, 0.500], [0.132, 0.151, 0.930], [0.635, 0.143, 0.278], [0.681, 0.181, 0.990], [0.721, 0.651, 0.019], [0.194, 0.694, 0.011], [0.308, 0.808, 0.990], [0.928, 0.929, 0.999], [0.072, 0.071, 0.001], [0.570, 0.571, 0.999], [0.430, 0.429, 0.001], [0.000, 0.501, 0.501], [0.500, 0.001, 0.501], [0.331, 0.852, 0.486], [0.669, 0.155, 0.521], [0.866, 0.352, 0.521], [0.134, 0.655, 0.486], [0.319, 0.290, 0.110], [0.681, 0.790, 0.971]], "formation_energy_uncorrected_ev_per_atom": -2.12, "spacegroup": "No. 46"}

{"formula": "LiPuBeAl", "functional": "PBE-GGA", "state": "optimized geometry", "lattice": [[4.545, 0.000, 0.000], [2.272, 3.936, 0.000], [2.272, 1.312, 3.711]], "species": ["Al", "Be", "Pu", "Li"], "fractional_positions": [[0.500, 0.500, 0.500], [0.750, 0.750, 0.750], [0.000, 0.000, 0.000], [0.250, 0.250, 0.250]], "spacegroup": "No. 216", "delta_e_f_ev_per_fu": 0.2}

Listing energy for the structures above in their given order: -0.1455, -0.0655, -0.2303, -0.2158 hartree per atom.